Entry 1:
This record from Alexandria via LeMat-Bulk describes a relaxed structure of K4Be3F12. The functional is PBE.

Output
Total moment: 2.002 μB per formula unit
Raw formation energy: -249.5 kJ per mole of atoms
Uncorrected energy: -4.59 eV per atom
V: 693 Å³ per cell

a b c (Å): 8.849 8.849 8.849
angles (deg): 90.00 90.00 90.00
Space group Im-3 (No. 204)
Symmetry-distinct sites (fractional):
K (0.250, 0.250, 0.250) (multiplicity 8)
Be (0.000, 0.000, 0.500) (multiplicity 6)
F (0.000, 0.129, 0.371) (multiplicity 24)

Entry 2:
This record from Alexandria via LeMat-Bulk describes a relaxed structure of K2BeF. The functional is PBE.

Output
Total moment: 0.000 μB per formula unit
Raw formation energy: -59.3 kJ per mole of atoms
Excess energy over the best structure of this formula in the dataset: 0 meV per atom
Uncorrected energy: -2.56 eV per atom
V: 534 Å³ per cell

a b c (Å): 7.715 7.715 8.971
angles (deg): 90.00 90.00 90.00
Space group I-42d (No. 122)
Symmetry-distinct sites (fractional):
K (0.153, 0.750, 0.125) (multiplicity 8)
Be (0.000, 0.000, 0.500) (multiplicity 4)
F (0.000, 0.000, 0.000) (multiplicity 4)

Entry 3:
This record from Alexandria via LeMat-Bulk describes a relaxed structure of K3BeF6. The functional is PBE.

Output
Total moment: 1.047 μB per formula unit
Raw formation energy: -247.3 kJ per mole of atoms
Uncorrected energy: -4.39 eV per atom
V: 311 Å³ per cell

a b c (Å): 6.018 6.050 10.415
angles (deg): 90.00 124.92 90.00
Space group P2_1/c (No. 14)
Symmetry-distinct sites (fractional):
K (0.000, 0.000, 0.000) (multiplicity 2)
K (0.257, 0.032, 0.752) (multiplicity 4)
Be (0.500, 0.000, 0.500) (multiplicity 2)
F (0.239, 0.016, 0.298) (multiplicity 4)
F (0.291, 0.667, 0.029) (multiplicity 4)
F (0.371, 0.240, 0.533) (multiplicity 4)

Entry 4:
This record from Alexandria via LeMat-Bulk describes a relaxed structure of KBeF2. The functional is PBE.

Output
Total moment: 0.000 μB per formula unit
Raw formation energy: -188.6 kJ per mole of atoms
Excess energy over the best structure of this formula in the dataset: 206 meV per atom
Uncorrected energy: -4.10 eV per atom
V: 262 Å³ per cell

a b c (Å): 5.696 5.696 8.079
angles (deg): 90.00 90.00 90.00
Space group I4_1/amd (No. 141, origin choice 2)
Symmetry-distinct sites (fractional):
K (0.000, 0.250, 0.375) (multiplicity 4)
Be (0.000, 0.250, 0.875) (multiplicity 4)
F (0.000, 0.000, 0.000) (multiplicity 8)

Entry 5:
This record from Alexandria via LeMat-Bulk describes a relaxed structure of KBeF2. The functional is PBE.

Output
Total moment: 0.000 μB per formula unit
Raw formation energy: -208.5 kJ per mole of atoms
Excess energy over the best structure of this formula in the dataset: 0 meV per atom
Uncorrected energy: -4.30 eV per atom
V: 244 Å³ per cell

a b c (Å): 4.0505 4.0505 17.1543
angles (deg): 90.00 90.00 120.00
Space group R-3m (No. 166, hexagonal axes)
Symmetry-distinct sites (fractional):
K (0.0000, 0.0000, 0.0000) (multiplicity 3)
Be (0.0000, 0.0000, 0.5000) (multiplicity 3)
F (0.0000, 0.0000, 0.4143) (multiplicity 6)

Entry 6:
This record from Alexandria via LeMat-Bulk describes a relaxed structure of K2BeF. The functional is PBE.

Output
Total moment: 0.942 μB per formula unit
Raw formation energy: -31.4 kJ per mole of atoms
Excess energy over the best structure of this formula in the dataset: 289 meV per atom
Uncorrected energy: -2.27 eV per atom
V: 448 Å³ per cell

a b c (Å): 7.654 7.654 7.654
angles (deg): 90.00 90.00 90.00
Space group Fm-3m (No. 225)
Symmetry-distinct sites (fractional):
K (0.250, 0.250, 0.250) (multiplicity 8)
Be (0.000, 0.000, 0.000) (multiplicity 4)
F (0.000, 0.000, 0.500) (multiplicity 4)

Entry 7:
This record from Alexandria via LeMat-Bulk describes a relaxed structure of KBeF2. The functional is PBE.

Output
Total moment: 0.000 μB per formula unit
Raw formation energy: -147.5 kJ per mole of atoms
Excess energy over the best structure of this formula in the dataset: 632 meV per atom
Uncorrected energy: -3.67 eV per atom
V: 188 Å³ per cell

a b c (Å): 3.1600 3.1600 21.6823
angles (deg): 90.00 90.00 120.00
Space group R-3m (No. 166, hexagonal axes)
Symmetry-distinct sites (fractional):
K (0.0000, 0.0000, 0.0000) (multiplicity 3)
Be (0.0000, 0.0000, 0.5000) (multiplicity 3)
F (0.0000, 0.0000, 0.1287) (multiplicity 6)

Entry 8:
This record from Alexandria via LeMat-Bulk describes a relaxed structure of K3Be2F8. The functional is PBE.

Output
Total moment: 1.127 μB per formula unit
Raw formation energy: -275.3 kJ per mole of atoms
Uncorrected energy: -4.83 eV per atom
V: 580 Å³ per cell

a b c (Å): 5.6663 5.6663 20.8438
angles (deg): 90.00 90.00 120.00
Space group R-3m (No. 166, hexagonal axes)
Symmetry-distinct sites (fractional):
K (0.0000, 0.0000, 0.0000) (multiplicity 3)
K (0.0000, 0.0000, 0.2059) (multiplicity 6)
Be (0.0000, 0.0000, 0.4103) (multiplicity 6)
F (0.0000, 0.0000, 0.3351) (multiplicity 6)
F (0.0316, 0.5158, 0.2329) (multiplicity 18)